1.
! SrTl2Te (SCAN, single point on PBEsol structure); values from VASP
! Total energy, eV/atom: -51.72
! ΔE_f (raw), eV/atom: -0.66
! Relative energy among the computed polymorphs, meV per atom: 45
! Density of states at the Fermi level, states/eV per atom: 0.325
&SYSTEM
  ibrav = 0, nat = 4, ntyp = 3
/
ATOMIC_SPECIES
Sr 87.62 Sr.upf
Te 127.60 Te.upf
Tl 204.38 Tl.upf
CELL_PARAMETERS angstrom
4.8826 0.0000 0.0000
0.0000 4.8575 0.0000
-2.4413 -2.4287 5.0436
ATOMIC_POSITIONS angstrom
Sr 0.0000 0.0000 5.0393
Te 0.0000 2.4287 2.5187
Tl 0.0000 0.0000 0.0091
Tl 2.4413 0.0000 2.5201



2.
! FeMoPt2 (SCAN, single point on PBEsol structure); values from VASP
! Total energy, eV/atom: -48.66
! E_form, eV/atom: -0.30
! Density of states at the Fermi level, states/eV per atom: 0.671
&SYSTEM
  ibrav = 0, nat = 4, ntyp = 3
/
ATOMIC_SPECIES
Mo 95.94 Mo.upf
Fe 55.84 Fe.upf
Pt 195.08 Pt.upf
CELL_PARAMETERS angstrom
-1.7541 1.8037 0.9705
-0.1131 -3.6860 2.8993
3.5796 2.4360 1.9428
ATOMIC_POSITIONS angstrom
Mo -0.5155 0.0767 2.6722
Fe 0.8409 -1.5327 4.3683
Pt 0.0604 0.0309 0.0517
Pt 2.1262 0.4126 3.0763



3.
! CdReSCl2 (SCAN, single point on PBEsol structure); values from VASP
! Total energy, eV/atom: -24.61
! ΔE_f (raw), eV/atom: 0.81
! Density of states at the Fermi level, states/eV per atom: 0.296
&SYSTEM
  ibrav = 0, nat = 5, ntyp = 4
/
ATOMIC_SPECIES
Re 186.21 Re.upf
S 32.06 S.upf
Cl 35.45 Cl.upf
Cd 112.41 Cd.upf
CELL_PARAMETERS angstrom
-4.4715 -1.5510 1.1424
1.8521 -4.2553 1.4721
0.5686 1.9186 4.8306
ATOMIC_POSITIONS angstrom
Re -1.0254 -1.9438 3.7225
S 0.2843 0.9593 2.4153
Cl 0.9261 -2.1277 0.7361
Cl -2.2358 -0.7755 0.5712
Cd 0.0000 0.0000 0.0000



4.
! Sc3AsP (SCAN, single point on PBEsol structure); values from VASP
! Total energy, eV/atom: -15.36
! E_form, eV/atom: -0.70
! Density of states at the Fermi level, states/eV per atom: 0.916
&SYSTEM
  ibrav = 0, nat = 5, ntyp = 3
/
ATOMIC_SPECIES
Sc 44.96 Sc.upf
P 30.97 P.upf
As 74.92 As.upf
CELL_PARAMETERS angstrom
4.7787 0.0000 0.0000
0.0000 4.7787 0.0000
0.0000 0.0000 4.7787
ATOMIC_POSITIONS angstrom
Sc 0.0000 2.3894 0.0000
Sc 0.0000 0.0000 2.3894
Sc 2.3894 0.0000 0.0000
P 0.0000 0.0000 0.0000
As 2.3894 2.3894 2.3894